# Mg4AgAu5

A relaxed Mg4AgAu5 crystal (GGA-PBE, Alexandria).

a = 3.3535 Å, b = 3.3535 Å, c = 16.0180 Å
α = 90.00°, β = 90.00°, γ = 90.00°
Element x y z (fractional)
Mg: 0.0000 0.0000 0.1977
Mg: 0.0000 0.0000 0.3998
Mg: 0.0000 0.0000 0.6002
Mg: 0.0000 0.0000 0.8023
Ag: 0.0000 0.0000 0.0000
Au: 0.5000 0.5000 0.1052
Au: 0.5000 0.5000 0.2996
Au: 0.5000 0.5000 0.5000
Au: 0.5000 0.5000 0.7004
Au: 0.5000 0.5000 0.8948

DFT formation energy   -5.00 eV per formula unit
D(E_F)   2.5 states/eV/f.u.